# TiHgSN2 | Alexandria via LeMat-Bulk | PBE | optimized geometry
# excess energy over the best structure of this formula in the dataset: 0.0 meV per atom
# raw formation energy: 300 meV per atom
# DOS at the Fermi energy: 0.473 states/eV/atom
data_TiHgSN2
_chemical_formula_sum 'Ti1 Hg1 S1 N2'
_cell_length_a 3.8626
_cell_length_b 3.8626
_cell_length_c 5.4481
_cell_angle_alpha 90.00
_cell_angle_beta 90.00
_cell_angle_gamma 90.00
_space_group_name_H-M_alt 'P 4/m m m'
_space_group_IT_number 123
_space_group_name_Hall '-P 4 2'
loop_
_atom_site_label
_atom_site_type_symbol
_atom_site_fract_x
_atom_site_fract_y
_atom_site_fract_z
_atom_site_occupancy
Ti1 Ti 0.0000 0.0000 0.0000 1
Hg1 Hg 0.5000 0.5000 0.5000 1
S1 S 0.0000 0.0000 0.5000 1
N1 N 0.0000 0.5000 0.0000 1

***

# VHg2SN | Alexandria via LeMat-Bulk | PBE | optimized geometry
# raw formation energy: 1373 meV per atom
# DOS at the Fermi energy: 1.049 states/eV/atom
data_VHg2SN
_chemical_formula_sum 'V1 Hg2 S1 N1'
_cell_length_a 4.5238
_cell_length_b 4.5238
_cell_length_c 4.5982
_cell_angle_alpha 90.00
_cell_angle_beta 90.00
_cell_angle_gamma 90.00
_space_group_name_H-M_alt 'P 4/m m m'
_space_group_IT_number 123
_space_group_name_Hall '-P 4 2'
loop_
_atom_site_label
_atom_site_type_symbol
_atom_site_fract_x
_atom_site_fract_y
_atom_site_fract_z
_atom_site_occupancy
V1 V 0.0000 0.0000 0.0000 1
Hg1 Hg 0.0000 0.5000 0.5000 1
S1 S 0.5000 0.5000 0.0000 1
N1 N 0.5000 0.5000 0.5000 1

***

# VHgSN2 | Alexandria via LeMat-Bulk | PBE | optimized geometry
# excess energy over the best structure of this formula in the dataset: 1587.6 meV per atom
# raw formation energy: 1918 meV per atom
# DOS at the Fermi energy: 0.380 states/eV/atom
data_VHgSN2
_chemical_formula_sum 'V1 Hg1 S1 N2'
_cell_length_a 4.1039
_cell_length_b 4.1039
_cell_length_c 5.4807
_cell_angle_alpha 90.00
_cell_angle_beta 90.00
_cell_angle_gamma 90.00
_space_group_name_H-M_alt 'P 4/m m m'
_space_group_IT_number 123
_space_group_name_Hall '-P 4 2'
loop_
_atom_site_label
_atom_site_type_symbol
_atom_site_fract_x
_atom_site_fract_y
_atom_site_fract_z
_atom_site_occupancy
V1 V 0.0000 0.0000 0.0000 1
Hg1 Hg 0.5000 0.5000 0.5000 1
S1 S 0.5000 0.5000 0.0000 1
N1 N 0.0000 0.5000 0.5000 1

***

# VHgSN2 | Alexandria via LeMat-Bulk | PBE | optimized geometry
# excess energy over the best structure of this formula in the dataset: 0.0 meV per atom
# raw formation energy: 331 meV per atom
# DOS at the Fermi energy: 0.247 states/eV/atom
data_VHgSN2
_chemical_formula_sum 'V1 Hg1 S1 N2'
_cell_length_a 3.7674
_cell_length_b 3.7674
_cell_length_c 5.2658
_cell_angle_alpha 90.00
_cell_angle_beta 90.00
_cell_angle_gamma 90.00
_space_group_name_H-M_alt 'P 4/m m m'
_space_group_IT_number 123
_space_group_name_Hall '-P 4 2'
loop_
_atom_site_label
_atom_site_type_symbol
_atom_site_fract_x
_atom_site_fract_y
_atom_site_fract_z
_atom_site_occupancy
V1 V 0.0000 0.0000 0.0000 1
Hg1 Hg 0.5000 0.5000 0.5000 1
S1 S 0.0000 0.0000 0.5000 1
N1 N 0.0000 0.5000 0.0000 1

***

# HgWSN2 | Alexandria via LeMat-Bulk | PBE | optimized geometry
# excess energy over the best structure of this formula in the dataset: 0.0 meV per atom
# raw formation energy: 345 meV per atom
# DOS at the Fermi energy: 0.535 states/eV/atom
data_HgWSN2
_chemical_formula_sum 'Hg1 W1 S1 N2'
_cell_length_a 3.9203
_cell_length_b 3.9203
_cell_length_c 5.1539
_cell_angle_alpha 90.00
_cell_angle_beta 90.00
_cell_angle_gamma 90.00
_space_group_name_H-M_alt 'P 4/m m m'
_space_group_IT_number 123
_space_group_name_Hall '-P 4 2'
loop_
_atom_site_label
_atom_site_type_symbol
_atom_site_fract_x
_atom_site_fract_y
_atom_site_fract_z
_atom_site_occupancy
Hg1 Hg 0.0000 0.0000 0.0000 1
W1 W 0.5000 0.5000 0.5000 1
S1 S 0.5000 0.5000 0.0000 1
N1 N 0.0000 0.5000 0.5000 1

***

# HgWSN2 | Alexandria via LeMat-Bulk | PBE | optimized geometry
# excess energy over the best structure of this formula in the dataset: 2372.8 meV per atom
# raw formation energy: 2717 meV per atom
# DOS at the Fermi energy: 1.002 states/eV/atom
data_HgWSN2
_chemical_formula_sum 'Hg1 W1 S1 N2'
_cell_length_a 4.0369
_cell_length_b 4.0369
_cell_length_c 4.9725
_cell_angle_alpha 90.00
_cell_angle_beta 90.00
_cell_angle_gamma 90.00
_space_group_name_H-M_alt 'P 4/m m m'
_space_group_IT_number 123
_space_group_name_Hall '-P 4 2'
loop_
_atom_site_label
_atom_site_type_symbol
_atom_site_fract_x
_atom_site_fract_y
_atom_site_fract_z
_atom_site_occupancy
Hg1 Hg 0.0000 0.0000 0.0000 1
W1 W 0.5000 0.5000 0.5000 1
S1 S 0.0000 0.0000 0.5000 1
N1 N 0.0000 0.5000 0.0000 1

***

# YHgS2N | Alexandria via LeMat-Bulk | PBE | optimized geometry
# excess energy over the best structure of this formula in the dataset: 179.3 meV per atom
# raw formation energy: 355 meV per atom
# DOS at the Fermi energy: 0.610 states/eV/atom
data_YHgS2N
_chemical_formula_sum 'Y1 Hg1 S2 N1'
_cell_length_a 5.0198
_cell_length_b 5.0198
_cell_length_c 4.1592
_cell_angle_alpha 90.00
_cell_angle_beta 90.00
_cell_angle_gamma 90.00
_space_group_name_H-M_alt 'P 4/m m m'
_space_group_IT_number 123
_space_group_name_Hall '-P 4 2'
loop_
_atom_site_label
_atom_site_type_symbol
_atom_site_fract_x
_atom_site_fract_y
_atom_site_fract_z
_atom_site_occupancy
Y1 Y 0.0000 0.0000 0.0000 1
Hg1 Hg 0.5000 0.5000 0.5000 1
S1 S 0.0000 0.5000 0.5000 1
N1 N 0.5000 0.5000 0.0000 1

***

# YHgS2N | Alexandria via LeMat-Bulk | PBE | optimized geometry
# excess energy over the best structure of this formula in the dataset: 0.0 meV per atom
# raw formation energy: 176 meV per atom
# DOS at the Fermi energy: 0.668 states/eV/atom
data_YHgS2N
_chemical_formula_sum 'Y1 Hg1 S2 N1'
_cell_length_a 5.3322
_cell_length_b 5.3322
_cell_length_c 4.5428
_cell_angle_alpha 90.00
_cell_angle_beta 90.00
_cell_angle_gamma 90.00
_space_group_name_H-M_alt 'P 4/m m m'
_space_group_IT_number 123
_space_group_name_Hall '-P 4 2'
loop_
_atom_site_label
_atom_site_type_symbol
_atom_site_fract_x
_atom_site_fract_y
_atom_site_fract_z
_atom_site_occupancy
Y1 Y 0.0000 0.0000 0.0000 1
Hg1 Hg 0.5000 0.5000 0.5000 1
S1 S 0.0000 0.5000 0.0000 1
N1 N 0.0000 0.0000 0.5000 1

***

# ZrHgSN2 | Alexandria via LeMat-Bulk | PBE | optimized geometry
# excess energy over the best structure of this formula in the dataset: 0.0 meV per atom
# raw formation energy: 374 meV per atom
# DOS at the Fermi energy: 0.722 states/eV/atom
data_ZrHgSN2
_chemical_formula_sum 'Zr1 Hg1 S1 N2'
_cell_length_a 4.1243
_cell_length_b 4.1243
_cell_length_c 5.5641
_cell_angle_alpha 90.00
_cell_angle_beta 90.00
_cell_angle_gamma 90.00
_space_group_name_H-M_alt 'P 4/m m m'
_space_group_IT_number 123
_space_group_name_Hall '-P 4 2'
loop_
_atom_site_label
_atom_site_type_symbol
_atom_site_fract_x
_atom_site_fract_y
_atom_site_fract_z
_atom_site_occupancy
Zr1 Zr 0.0000 0.0000 0.0000 1
Hg1 Hg 0.5000 0.5000 0.5000 1
S1 S 0.0000 0.0000 0.5000 1
N1 N 0.0000 0.5000 0.0000 1

***

# ZrHgSN2 | Alexandria via LeMat-Bulk | PBE | optimized geometry
# excess energy over the best structure of this formula in the dataset: 1048.1 meV per atom
# raw formation energy: 1422 meV per atom
# DOS at the Fermi energy: 0.755 states/eV/atom
data_ZrHgSN2
_chemical_formula_sum 'Zr1 Hg1 S1 N2'
_cell_length_a 4.1446
_cell_length_b 4.1446
_cell_length_c 4.8585
_cell_angle_alpha 90.00
_cell_angle_beta 90.00
_cell_angle_gamma 90.00
_space_group_name_H-M_alt 'P 4/m m m'
_space_group_IT_number 123
_space_group_name_Hall '-P 4 2'
loop_
_atom_site_label
_atom_site_type_symbol
_atom_site_fract_x
_atom_site_fract_y
_atom_site_fract_z
_atom_site_occupancy
Zr1 Zr 0.0000 0.0000 0.0000 1
Hg1 Hg 0.5000 0.5000 0.5000 1
S1 S 0.5000 0.5000 0.0000 1
N1 N 0.0000 0.5000 0.5000 1

***

# ZrHgS2N | Alexandria via LeMat-Bulk | PBE | optimized geometry
# excess energy over the best structure of this formula in the dataset: 0.0 meV per atom
# raw formation energy: -58 meV per atom
# DOS at the Fermi energy: 0.525 states/eV/atom
data_ZrHgS2N
_chemical_formula_sum 'Zr1 Hg1 S2 N1'
_cell_length_a 5.1261
_cell_length_b 5.1261
_cell_length_c 4.1737
_cell_angle_alpha 90.00
_cell_angle_beta 90.00
_cell_angle_gamma 90.00
_space_group_name_H-M_alt 'P 4/m m m'
_space_group_IT_number 123
_space_group_name_Hall '-P 4 2'
loop_
_atom_site_label
_atom_site_type_symbol
_atom_site_fract_x
_atom_site_fract_y
_atom_site_fract_z
_atom_site_occupancy
Zr1 Zr 0.0000 0.0000 0.0000 1
Hg1 Hg 0.5000 0.5000 0.5000 1
S1 S 0.0000 0.5000 0.0000 1
N1 N 0.0000 0.0000 0.5000 1

***

# ZrHgS2N | Alexandria via LeMat-Bulk | PBE | optimized geometry
# excess energy over the best structure of this formula in the dataset: 1048.1 meV per atom
# raw formation energy: 990 meV per atom
# DOS at the Fermi energy: 0.621 states/eV/atom
data_ZrHgS2N
_chemical_formula_sum 'Zr1 Hg1 S2 N1'
_cell_length_a 4.9119
_cell_length_b 4.9119
_cell_length_c 4.0968
_cell_angle_alpha 90.00
_cell_angle_beta 90.00
_cell_angle_gamma 90.00
_space_group_name_H-M_alt 'P 4/m m m'
_space_group_IT_number 123
_space_group_name_Hall '-P 4 2'
loop_
_atom_site_label
_atom_site_type_symbol
_atom_site_fract_x
_atom_site_fract_y
_atom_site_fract_z
_atom_site_occupancy
Zr1 Zr 0.0000 0.0000 0.0000 1
Hg1 Hg 0.5000 0.5000 0.5000 1
S1 S 0.0000 0.5000 0.5000 1
N1 N 0.5000 0.5000 0.0000 1

***

# Hg3SbN | Alexandria via LeMat-Bulk | PBE | optimized geometry
# excess energy over the best structure of this formula in the dataset: 282.2 meV per atom
# raw formation energy: 1121 meV per atom
# DOS at the Fermi energy: 0.379 states/eV/atom
data_Hg3SbN
_chemical_formula_sum 'Hg3 Sb1 N1'
_cell_length_a 5.8399
_cell_length_b 5.8399
_cell_length_c 5.8399
_cell_angle_alpha 90.00
_cell_angle_beta 90.00
_cell_angle_gamma 90.00
_space_group_name_H-M_alt 'P m -3 m'
_space_group_IT_number 221
_space_group_name_Hall '-P 4 2 3'
loop_
_atom_site_label
_atom_site_type_symbol
_atom_site_fract_x
_atom_site_fract_y
_atom_site_fract_z
_atom_site_occupancy
Hg1 Hg 0.0000 0.0000 0.5000 1
Sb1 Sb 0.0000 0.0000 0.0000 1
N1 N 0.5000 0.5000 0.5000 1